## Mg3Zr6Cd (PBE)

Data for a relaxed structure of Mg3Zr6Cd.

a = 3.1083 Å, b = 14.0063 Å, c = 15.3910 Å
α = 46.50°, β = 73.29°, γ = 69.63°
Atoms (fractional coordinates):
Mg (0.3307, 0.1366, 0.5763)
Mg (0.6693, 0.8634, 0.4237)
Mg (0.9954, 0.5965, 0.2734)
Mg (0.0046, 0.4035, 0.7266)
Mg (0.6453, 0.8932, 0.8217)
Mg (0.3547, 0.1068, 0.1783)
Zr (0.4048, 0.3840, 0.5224)
Zr (0.5952, 0.6160, 0.4776)
Zr (0.8981, 0.8804, 0.0225)
Zr (0.1019, 0.1196, 0.9775)
Zr (0.2600, 0.8947, 0.6164)
Zr (0.7400, 0.1053, 0.3836)
Zr (0.1754, 0.8390, 0.2274)
Zr (0.8246, 0.1610, 0.7726)
Zr (0.4529, 0.6381, 0.8674)
Zr (0.5471, 0.3619, 0.1326)
Zr (0.8819, 0.3393, 0.3332)
Zr (0.1181, 0.6607, 0.6668)
Cd (0.2866, 0.3810, 0.9288)
Cd (0.7134, 0.6190, 0.0712)

Output
Symmetry: P-1, No. 2
Formation energy (eV/atom): 0.03
Total moment (μB/cell): 0.00
DOS at the Fermi energy (states/eV/atom): 0.9754